1.
Crystalline Li2Dy2BPt4 at its relaxed geometry, computed with GGA-PBE.

Summary:
Energy of formation from the pure elements in meV/atom: -828
Space group: I4/mmm

Lattice parameters (Å, degrees): 5.907 5.907 5.907 117.67 117.67 94.09
Fractional coordinates of all 9 atoms:
Li 0.198 0.198 0.000
Li 0.802 0.802 0.000
Dy 0.250 0.750 0.500
Dy 0.750 0.250 0.500
B 0.500 0.500 0.000
Pt 0.254 0.254 0.508
Pt 0.254 0.746 0.000
Pt 0.746 0.254 0.000
Pt 0.746 0.746 0.492

***

2.
Crystalline AlPbBr5 at its relaxed geometry, computed with GGA-PBE.

Summary:
Formation energy from raw total energies in eV/atom: -0.992
Space group: C2/c

Lattice parameters (Å, degrees): 7.718 7.718 10.949 110.64 110.64 86.92
Fractional coordinates of all 14 atoms:
Al 0.097 0.903 0.750
Al 0.903 0.097 0.250
Pb 0.500 0.500 0.000
Pb 0.500 0.500 0.500
Br 0.142 0.227 0.830
Br 0.195 0.770 0.561
Br 0.227 0.142 0.330
Br 0.230 0.805 0.939
Br 0.398 0.602 0.250
Br 0.602 0.398 0.750
Br 0.770 0.195 0.061
Br 0.773 0.858 0.670
Br 0.805 0.230 0.439
Br 0.858 0.773 0.170

***

3.
Crystalline Ni2AgCl at its relaxed geometry, computed with GGA-PBE.

Summary:
Energy above the most stable polymorph in this dataset in meV/atom: 332
Formation energy from raw total energies in eV/atom: 0.478
Space group: I-42d

Lattice parameters (Å, degrees): 7.593 7.593 7.593 145.01 145.01 50.32
Fractional coordinates of all 8 atoms:
Ni 0.375 0.234 0.359
Ni 0.766 0.125 0.141
Ni 0.875 0.016 0.641
Ni 0.984 0.625 0.859
Ag 0.250 0.750 0.500
Ag 0.500 0.500 0.000
Cl 0.000 0.000 0.000
Cl 0.750 0.250 0.500

***

4.
Crystalline Pb3BrO at its relaxed geometry, computed with GGA-PBE.

Summary:
Energy above the most stable polymorph in this dataset in meV/atom: 0
Formation energy from raw total energies in eV/atom: -0.244
Space group: Pm-3m

Lattice parameters (Å, degrees): 5.189 5.189 5.189 90.00 90.00 90.00
Fractional coordinates of all 5 atoms:
Pb 0.000 0.000 0.500
Pb 0.000 0.500 0.000
Pb 0.500 0.000 0.000
Br 0.500 0.500 0.500
O 0.000 0.000 0.000

***

We obtain calculated total energy values of -5.70; -3.25; -3.59; -3.80 eV per atom for the records listed above, in that order.
We obtain Fermi-level density of states values of 4.19; 0.00; 0.29; 9.15 states/eV/cell for the records listed above, in that order.